No. 1
# NbCdCl3

NbCdCl3 at its PBEsol-relaxed geometry (meta-GGA SCAN, the Alexandria database).

Computed properties:
Total magnetization in μB/f.u.: 4.0
Space group: Pm-3m (221)
Raw formation energy in meV per atom: -72

Cell: 5.038 5.038 5.038 Å, 90.00 90.00 90.00°
Element x y z (fractional)
Nb 0.500 0.500 0.500
Cl 0.000 0.500 0.000
Cl 0.000 0.000 0.500
Cl 0.500 0.000 0.000
Cd 0.000 0.000 0.000

---

No. 2
# CdNi2Cl

CdNi2Cl at its PBEsol-relaxed geometry (meta-GGA SCAN, the Alexandria database).

Computed properties:
Total magnetization in μB/f.u.: 1.6
Space group: Cmmm (65)
Raw formation energy in meV per atom: 277

Cell: 2.933 2.933 7.725 Å, 90.00 90.00 118.41°
Element x y z (fractional)
Cd 0.500 0.500 0.500
Cl 0.500 0.500 0.000
Ni 0.000 0.000 0.226
Ni 0.000 0.000 0.774

---

No. 3
# CdNi2Cl

CdNi2Cl at its PBEsol-relaxed geometry (meta-GGA SCAN, the Alexandria database).

Computed properties:
Total magnetization in μB/f.u.: 0.5
Space group: I4/mmm (139)
Raw formation energy in meV per atom: 563

Cell: 4.037 4.037 4.556 Å, 116.30 116.30 90.00°
Element x y z (fractional)
Cd 0.500 0.500 0.000
Cl 0.000 0.000 0.000
Ni 0.750 0.250 0.500
Ni 0.250 0.750 0.500

---

No. 4
# CdNi2Cl

CdNi2Cl at its PBEsol-relaxed geometry (meta-GGA SCAN, the Alexandria database).

Computed properties:
Total magnetization in μB/f.u.: 0.9
Space group: P4/mmm (123)
Raw formation energy in meV per atom: 332

Cell: 2.935 2.935 6.434 Å, 90.00 90.00 90.00°
Element x y z (fractional)
Cd 0.500 0.500 0.000
Cl 0.500 0.500 0.500
Ni 0.000 0.000 0.727
Ni 0.000 0.000 0.273

---

No. 5
# CdNiSCl2

CdNiSCl2 at its PBEsol-relaxed geometry (meta-GGA SCAN, the Alexandria database).

Computed properties:
Total magnetization in μB/f.u.: 1.8
Space group: P4/mmm (123)
Raw formation energy in meV per atom: 215

Cell: 4.938 4.938 5.067 Å, 90.00 90.00 90.00°
Element x y z (fractional)
Ni 0.500 0.500 0.500
S 0.000 0.000 0.500
Cl 0.000 0.500 0.000
Cl 0.500 0.000 0.000
Cd 0.000 0.000 0.000

---

No. 6
# Cd3Cl2O2

Cd3Cl2O2 at its PBEsol-relaxed geometry (meta-GGA SCAN, the Alexandria database).

Computed properties:
Total magnetization in μB/f.u.: 0.0
Space group: P2_1/c (14)
Raw formation energy in meV per atom: -1245

Cell: 6.404 6.620 6.722 Å, 90.00 90.00 115.76°
Element x y z (fractional)
Cd 0.588 0.233 0.125
Cd 0.412 0.267 0.625
Cd 0.412 0.767 0.875
Cd 0.588 0.733 0.375
Cd 0.000 0.500 0.500
Cd 0.000 0.000 0.000
Cl 0.193 0.934 0.363
Cl 0.807 0.566 0.863
Cl 0.193 0.434 0.137
Cl 0.807 0.066 0.637
O 0.668 0.438 0.386
O 0.332 0.062 0.886
O 0.332 0.562 0.614
O 0.668 0.938 0.114

---

No. 7
# Cd5P3ClO12

Cd5P3ClO12 at its PBEsol-relaxed geometry (meta-GGA SCAN, the Alexandria database).

Computed properties:
Total magnetization in μB/f.u.: 0.0
Space group: P6_3/m (176)
Raw formation energy in meV per atom: -2022

Cell: 6.472 9.768 9.768 Å, 120.00 90.00 90.00°
Element x y z (fractional)
Cd 0.496 0.667 0.333
Cd 0.996 0.333 0.667
Cd 0.004 0.667 0.333
Cd 0.504 0.333 0.667
Cd 0.750 0.973 0.248
Cd 0.250 0.248 0.274
Cd 0.250 0.726 0.973
Cd 0.750 0.274 0.027
Cd 0.750 0.752 0.726
Cd 0.250 0.027 0.752
P 0.250 0.379 0.974
P 0.250 0.026 0.405
P 0.750 0.974 0.595
P 0.750 0.405 0.379
P 0.750 0.621 0.026
P 0.250 0.595 0.621
Cl 0.250 0.000 0.000
Cl 0.750 0.000 0.000
O 0.750 0.356 0.506
O 0.942 0.731 0.075
O 0.058 0.656 0.731
O 0.558 0.731 0.075
O 0.558 0.925 0.656
O 0.058 0.075 0.344
O 0.058 0.269 0.925
O 0.558 0.344 0.269
O 0.942 0.344 0.269
O 0.442 0.269 0.925
O 0.442 0.656 0.731
O 0.750 0.591 0.457
O 0.250 0.457 0.866
O 0.250 0.134 0.591
O 0.750 0.866 0.409
O 0.750 0.543 0.134
O 0.250 0.644 0.494
O 0.750 0.494 0.849
O 0.750 0.151 0.644
O 0.250 0.849 0.356
O 0.250 0.506 0.151
O 0.942 0.925 0.656
O 0.250 0.409 0.543
O 0.442 0.075 0.344

---

No. 8
# CdPb2Cl2O2

CdPb2Cl2O2 at its PBEsol-relaxed geometry (meta-GGA SCAN, the Alexandria database).

Computed properties:
Total magnetization in μB/f.u.: 0.0
Space group: C2/m (12)
Raw formation energy in meV per atom: -1288

Cell: 3.818 6.428 6.988 Å, 68.81 74.15 72.72°
Element x y z (fractional)
Pb 0.816 0.611 0.758
Pb 0.184 0.389 0.242
Cl 0.561 0.175 0.703
Cl 0.439 0.825 0.297
O 0.805 0.318 0.071
O 0.195 0.682 0.929
Cd 0.000 0.000 0.000

---

No. 9
# Rb4V5CdClO15

Rb4V5CdClO15 at its PBEsol-relaxed geometry (meta-GGA SCAN, the Alexandria database).

Computed properties:
Total magnetization in μB/f.u.: 0.0
Space group: P4 (75)
Raw formation energy in meV per atom: -2454

Cell: 5.567 9.125 9.125 Å, 90.00 90.00 90.00°
Element x y z (fractional)
Rb 0.939 0.676 0.838
Rb 0.939 0.162 0.676
Rb 0.939 0.324 0.162
Rb 0.939 0.838 0.324
V 0.462 0.618 0.142
V 0.462 0.142 0.382
V 0.462 0.382 0.858
V 0.487 0.500 0.500
V 0.462 0.858 0.618
Cd 0.498 0.000 0.000
Cl 0.040 0.000 0.000
O 0.167 0.141 0.383
O 0.575 0.000 0.500
O 0.567 0.788 0.113
O 0.567 0.113 0.212
O 0.167 0.617 0.141
O 0.200 0.500 0.500
O 0.567 0.212 0.887
O 0.575 0.446 0.690
O 0.575 0.690 0.554
O 0.575 0.310 0.446
O 0.575 0.500 0.000
O 0.167 0.383 0.859
O 0.567 0.887 0.788
O 0.167 0.859 0.617
O 0.575 0.554 0.310

---

No. 10
# Cd2TeCl2O3

Cd2TeCl2O3 at its PBEsol-relaxed geometry (meta-GGA SCAN, the Alexandria database).

Computed properties:
Total magnetization in μB/f.u.: 0.0
Space group: Pccn (56)
Raw formation energy in meV per atom: -1225

Cell: 8.336 10.900 15.669 Å, 90.00 90.00 90.00°
Element x y z (fractional)
Cd 0.904 0.222 0.450
Cd 0.659 0.972 0.392
Cd 0.596 0.778 0.950
Cd 0.904 0.278 0.050
Cd 0.841 0.028 0.892
Cd 0.341 0.028 0.608
Cd 0.096 0.722 0.950
Cd 0.659 0.528 0.108
Cd 0.404 0.278 0.450
Cd 0.841 0.472 0.608
Cd 0.159 0.528 0.392
Cd 0.096 0.778 0.550
Cd 0.404 0.222 0.050
Cd 0.596 0.722 0.550
Cd 0.341 0.472 0.892
Cd 0.159 0.972 0.108
Te 0.274 0.976 0.892
Te 0.774 0.524 0.892
Te 0.726 0.476 0.392
Te 0.226 0.024 0.392
Te 0.726 0.024 0.108
Te 0.274 0.524 0.608
Te 0.226 0.476 0.108
Te 0.774 0.976 0.608
Cl 0.355 0.077 0.200
Cl 0.457 0.232 0.616
Cl 0.145 0.923 0.700
Cl 0.457 0.268 0.884
Cl 0.855 0.423 0.200
Cl 0.645 0.577 0.700
Cl 0.355 0.423 0.300
Cl 0.043 0.768 0.116
Cl 0.645 0.923 0.800
Cl 0.145 0.577 0.800
Cl 0.543 0.768 0.384
Cl 0.043 0.732 0.384
Cl 0.855 0.077 0.300
Cl 0.957 0.268 0.616
Cl 0.957 0.232 0.884
Cl 0.543 0.732 0.116
O 0.198 0.545 0.998
O 0.939 0.422 0.411
O 0.160 0.316 0.078
O 0.302 0.455 0.498
O 0.840 0.684 0.922
O 0.840 0.816 0.578
O 0.561 0.578 0.911
O 0.802 0.045 0.498
O 0.160 0.184 0.422
O 0.340 0.816 0.922
O 0.061 0.922 0.911
O 0.939 0.078 0.089
O 0.698 0.545 0.502
O 0.340 0.684 0.578
O 0.061 0.578 0.589
O 0.302 0.045 0.002
O 0.660 0.316 0.422
O 0.660 0.184 0.078
O 0.802 0.455 0.002
O 0.698 0.955 0.998
O 0.198 0.955 0.502
O 0.439 0.078 0.411
O 0.561 0.922 0.589
O 0.439 0.422 0.089

---

No. 11
# Cd2OsCl

Cd2OsCl at its PBEsol-relaxed geometry (meta-GGA SCAN, the Alexandria database).

Computed properties:
Total magnetization in μB/f.u.: 1.2
Space group: R-3m (166)
Raw formation energy in meV per atom: 295

Cell: 3.086 3.086 8.894 Å, 80.01 80.01 60.00°
Element x y z (fractional)
Cl 0.000 0.000 0.000
Os 0.500 0.500 0.500
Cd 0.248 0.248 0.255
Cd 0.752 0.752 0.745

---

No. 12
# Cd2PCl

Cd2PCl at its PBEsol-relaxed geometry (meta-GGA SCAN, the Alexandria database).

Computed properties:
Total magnetization in μB/f.u.: 0.0
Space group: Fm-3m (225)
Raw formation energy in meV per atom: -35

Cell: 4.798 4.798 4.798 Å, 60.00 60.00 60.00°
Element x y z (fractional)
Cd 0.250 0.250 0.250
Cd 0.750 0.750 0.750
Cl 0.000 0.000 0.000
P 0.500 0.500 0.500